[1]
First-principles (PBE) data for a relaxed RbSi2I2 crystal, as listed in Alexandria via LeMat-Bulk.

Results
Formation energy (no corrections) in eV per atom: 0.12
D(E_F) in states/eV/f.u.: 4.09
Total DFT energy (no corrections) in eV for the cell shown: -28.67
Polymorph energy (0 for the lowest one) in meV/atom: 56.0

a = 6.124 Å, b = 6.124 Å, c = 9.069 Å
α = 90.00°, β = 90.00°, γ = 90.00°
Space group I4/mmm (No. 139)
Inequivalent atoms, fractional coordinates:
Rb (0.000, 0.000, 0.000) x2
Si (0.000, 0.000, 0.367) x4
I (0.000, 0.500, 0.250) x4


[2]
First-principles (PBE) data for a relaxed RbSi2I crystal, as listed in Alexandria via LeMat-Bulk.

Results
Formation energy (no corrections) in eV per atom: 0.97
D(E_F) in states/eV/f.u.: 8.18
Total DFT energy (no corrections) in eV for the cell shown: -37.86
Polymorph energy (0 for the lowest one) in meV/atom: 205.4

a = 7.753 Å, b = 7.753 Å, c = 7.753 Å
α = 90.00°, β = 90.00°, γ = 90.00°
Space group Fm-3m (No. 225)
Inequivalent atoms, fractional coordinates:
Rb (0.000, 0.000, 0.000) x4
Si (0.250, 0.250, 0.250) x8
I (0.000, 0.000, 0.500) x4


[3]
First-principles (PBE) data for a relaxed RbSi2I2 crystal, as listed in Alexandria via LeMat-Bulk.

Results
Formation energy (no corrections) in eV per atom: 0.06
D(E_F) in states/eV/f.u.: 4.56
Total DFT energy (no corrections) in eV for the cell shown: -29.23
Polymorph energy (0 for the lowest one) in meV/atom: 0.0

a = 8.750 Å, b = 8.750 Å, c = 5.365 Å
α = 90.00°, β = 90.00°, γ = 90.00°
Space group P4/mbm (No. 127)
Inequivalent atoms, fractional coordinates:
Rb (0.000, 0.000, 0.000) x2
Si (0.092, 0.408, 0.000) x4
I (0.158, 0.342, 0.500) x4


[4]
First-principles (PBE) data for a relaxed RbSi2I8 crystal, as listed in Alexandria via LeMat-Bulk.

Results
Formation energy (no corrections) in eV per atom: -0.45
D(E_F) in states/eV/f.u.: 5.85
Total DFT energy (no corrections) in eV for the cell shown: -58.24

a = 17.110 Å, b = 10.808 Å, c = 7.487 Å
α = 90.00°, β = 104.61°, γ = 90.00°
Space group C2/m (No. 12)
Inequivalent atoms, fractional coordinates:
Rb (0.000, 0.000, 0.000) x2
Si (0.195, 0.000, 0.681) x4
I (0.119, 0.192, 0.741) x8
I (0.166, 0.500, 0.104) x4
I (0.206, 0.000, 0.349) x4


[5]
First-principles (PBE) data for a relaxed Rb2SiI crystal, as listed in Alexandria via LeMat-Bulk.

Results
Formation energy (no corrections) in eV per atom: -0.11
D(E_F) in states/eV/f.u.: 0.00
Total DFT energy (no corrections) in eV for the cell shown: -37.34
Polymorph energy (0 for the lowest one) in meV/atom: 64.6

a = 9.460 Å, b = 9.460 Å, c = 10.675 Å
α = 90.00°, β = 90.00°, γ = 90.00°
Space group I-42d (No. 122)
Inequivalent atoms, fractional coordinates:
Rb (0.249, 0.250, 0.125) x8
Si (0.000, 0.000, 0.000) x4
I (0.000, 0.000, 0.500) x4


[6]
First-principles (PBE) data for a relaxed Rb2SiI5 crystal, as listed in Alexandria via LeMat-Bulk.

Results
Formation energy (no corrections) in eV per atom: -0.79
D(E_F) in states/eV/f.u.: 4.28
Total DFT energy (no corrections) in eV for the cell shown: -42.82

a = 8.478 Å, b = 8.478 Å, c = 10.593 Å
α = 90.00°, β = 90.00°, γ = 90.00°
Space group I4mm (No. 107)
Inequivalent atoms, fractional coordinates:
Rb (0.000, 0.500, 0.000) x4
Si (0.000, 0.000, 0.287) x2
I (0.000, 0.000, 0.528) x2
I (0.231, 0.231, 0.248) x8


[7]
First-principles (PBE) data for a relaxed RbSi2I crystal, as listed in Alexandria via LeMat-Bulk.

Results
Formation energy (no corrections) in eV per atom: 0.77
D(E_F) in states/eV/f.u.: 2.77
Total DFT energy (no corrections) in eV for the cell shown: -41.15
Polymorph energy (0 for the lowest one) in meV/atom: 0.0

a = 9.128 Å, b = 9.128 Å, c = 6.290 Å
α = 90.00°, β = 90.00°, γ = 90.00°
Space group I-42d (No. 122)
Inequivalent atoms, fractional coordinates:
Rb (0.000, 0.000, 0.000) x4
Si (0.215, 0.750, 0.625) x8
I (0.000, 0.000, 0.500) x4


[8]
First-principles (PBE) data for a relaxed Rb2SiSnI6 crystal, as listed in Alexandria via LeMat-Bulk.

Results
Formation energy (no corrections) in eV per atom: -0.75
D(E_F) in states/eV/f.u.: 0.00
Total DFT energy (no corrections) in eV for the cell shown: -56.31

a = 8.534 Å, b = 8.534 Å, c = 12.062 Å
α = 90.00°, β = 90.00°, γ = 90.00°
Space group I4/mmm (No. 139)
Inequivalent atoms, fractional coordinates:
Rb (0.000, 0.500, 0.250) x4
Si (0.000, 0.000, 0.000) x2
Sn (0.000, 0.000, 0.500) x2
I (0.000, 0.000, 0.241) x4
I (0.241, 0.241, 0.000) x8